1.
HoPuClO4 after structural relaxation. Source: Alexandria, functional PBE-GGA.

Calculated values
E_form (uncorrected) = -2.5200 eV per atom
Crystal system = monoclinic

Geometry as CIF:
```
data_HoPuClO4
_chemical_formula_sum 'Ho4 Pu4 Cl4 O16'
_space_group_name_H-M_alt 'C 1 2/m 1'
_space_group_IT_number 12
_space_group_name_Hall '-C 2y'
_cell_length_a 11.859
_cell_length_b 6.893
_cell_length_c 6.607
_cell_angle_alpha 90.00
_cell_angle_beta 110.04
_cell_angle_gamma 90.00
loop_
_atom_site_label
_atom_site_type_symbol
_atom_site_fract_x
_atom_site_fract_y
_atom_site_fract_z
Ho1 Ho 0.213 0.000 0.076
Pu1 Pu 0.128 0.500 0.234
Cl1 Cl 0.031 0.000 0.253
O1 O 0.081 0.500 0.915
O2 O 0.167 0.500 0.531
O3 O 0.248 0.305 0.194
```

***

2.
GdHo2O after structural relaxation. Source: Alexandria, functional PBE-GGA.

Calculated values
E_form (uncorrected) = -0.8132 eV per atom
Crystal system = tetragonal
Relative energy among the computed polymorphs = 0.545 eV per atom

Geometry as CIF:
```
data_GdHo2O
_chemical_formula_sum 'Gd1 Ho2 O1'
_space_group_name_H-M_alt 'P 4/m m m'
_space_group_IT_number 123
_space_group_name_Hall '-P 4 2'
_cell_length_a 3.176
_cell_length_b 3.176
_cell_length_c 8.736
_cell_angle_alpha 90.00
_cell_angle_beta 90.00
_cell_angle_gamma 90.00
loop_
_atom_site_label
_atom_site_type_symbol
_atom_site_fract_x
_atom_site_fract_y
_atom_site_fract_z
Gd1 Gd 0.000 0.000 0.000
Ho1 Ho 0.500 0.500 0.325
O1 O 0.000 0.000 0.500
```

***

3.
K8RbTl2 after structural relaxation. Source: Alexandria, functional PBE-GGA.

Calculated values
DFT formation energy = 0.00 eV per atom
Crystal system = monoclinic

Geometry as CIF:
```
data_K8RbTl2
_chemical_formula_sum 'K16 Rb2 Tl4'
_space_group_name_H-M_alt 'C 1 2/m 1'
_space_group_IT_number 12
_space_group_name_Hall '-C 2y'
_cell_length_a 15.868
_cell_length_b 13.280
_cell_length_c 7.256
_cell_angle_alpha 90.00
_cell_angle_beta 116.88
_cell_angle_gamma 90.00
loop_
_atom_site_label
_atom_site_type_symbol
_atom_site_fract_x
_atom_site_fract_y
_atom_site_fract_z
K1 K 0.000 0.190 0.000
K2 K 0.172 0.173 0.671
K3 K 0.231 0.500 0.732
Rb1 Rb 0.000 0.500 0.000
Tl1 Tl 0.000 0.382 0.500
```

***

| no. | DOS(E_F) (states/eV/cell) |
| --- | --- |
| 1 | 22.4 |
| 2 | 5.1 |
| 3 | 17.6 |